Entry 1:
A plane-wave DFT calculation with GGA-PBE was carried out for a geometry-optimized MgInNi2 structure.

a = 4.3467 Å, b = 4.3467 Å, c = 7.7222 Å
α = 90.00°, β = 90.00°, γ = 120.00°
Fractional positions:
Mg1 0.3333 0.6667 0.2500
Mg2 0.6667 0.3333 0.7500
In1 0.0000 0.0000 0.0000
In2 0.0000 0.0000 0.5000
Ni1 0.3333 0.6667 0.5889
Ni2 0.3333 0.6667 0.9111
Ni3 0.6667 0.3333 0.0889
Ni4 0.6667 0.3333 0.4111

Results
Its total energy is -32.12 eV/cell. For the volume, the calculation gives 15.79 Å³/atom. For the spin magnetization, the calculation gives 0.0008 μB per atom. As for the symmetry: No. 194.

---

Entry 2:
A plane-wave DFT calculation with GGA-PBE was carried out for a geometry-optimized SbPdNO structure.

a = 5.3322 Å, b = 7.1805 Å, c = 5.4865 Å
α = 90.00°, β = 90.00°, γ = 90.00°
Fractional positions:
Sb1 0.0388 0.1801 0.0000
Sb2 0.4612 0.1801 0.5000
Sb3 0.5388 0.8199 0.0000
Sb4 0.9612 0.8199 0.5000
Pd1 0.1011 0.6716 0.9783
Pd2 0.3989 0.6716 0.4783
Pd3 0.6011 0.3284 0.9783
Pd4 0.8989 0.3284 0.4783
N1 0.0897 0.0998 0.6236
N2 0.4103 0.0998 0.1236
N3 0.5897 0.9002 0.6236
N4 0.9103 0.9002 0.1236
O1 0.2416 0.4130 0.8929
O2 0.2584 0.4130 0.3929
O3 0.7416 0.5870 0.8929
O4 0.7584 0.5870 0.3929

Results
Its total energy is -91.86 eV/cell. For the volume, the calculation gives 13.13 Å³/atom. As for the symmetry: No. 29.